Run A
TaTl: optimized geometry, PBE.

Output
ρ, g/cm3: 14.406

Unit cell a=6.1504 b=6.1504 c=7.3604 alpha=76.34 beta=76.34 gamma=29.57
Element x y z (fractional)
1 Ta 0.6722 0.6722 0.6525
2 Ta 0.6368 0.6368 0.3069
3 Tl 0.2648 0.2648 0.9414
4 Tl 0.9478 0.9478 0.5840
5 Tl 0.9974 0.9974 0.0165
6 Ta 0.3143 0.3143 0.3320



Run B
TaTl: optimized geometry, PBE.

Output
ρ, g/cm3: 15.405

Unit cell a=5.2880 b=5.2880 c=5.2880 alpha=34.15 beta=34.15 gamma=34.15
Element x y z (fractional)
1 Tl 0.5000 0.5000 0.5000
2 Ta 0.0000 0.0000 0.0000



Relative energy of each structure, in meV/atom: run A 0; run B 45.



Run A
LiEr2Tm: optimized geometry, PBE.

Output
ρ, g/cm3: 6.996

Unit cell a=3.4141 b=3.4141 c=12.1619 alpha=81.93 beta=81.93 gamma=60.00
Element x y z (fractional)
1 Er 0.9109 0.9109 0.2672
2 Tm 0.5000 0.5000 0.5000
3 Li 0.0000 0.0000 0.0000
4 Er 0.0891 0.0891 0.7328



Run B
LiEr2Tm: optimized geometry, PBE.

Output
ρ, g/cm3: 7.611

Unit cell a=5.4002 b=5.4002 c=5.4002 alpha=60.00 beta=60.00 gamma=60.00
Element x y z (fractional)
1 Tm 0.0000 0.0000 0.0000
2 Li 0.5000 0.5000 0.5000
3 Er 0.7500 0.7500 0.7500
4 Er 0.2500 0.2500 0.2500



Relative energy of each structure, in meV/atom: run A 6; run B 0.



Run A
MoPb2Cl: optimized geometry, PBE.

Output
ρ, g/cm3: 9.832

Unit cell a=5.2172 b=3.1208 c=5.8620 alpha=74.97 beta=90.00 gamma=90.00
Element x y z (fractional)
1 Mo 0.5000 0.5133 0.8535
2 Cl 0.0000 0.7493 0.3801
3 Pb 0.5000 0.2381 0.3830
4 Pb 0.0000 0.9993 0.8834



Run B
MoPb2Cl: optimized geometry, PBE.

Output
ρ, g/cm3: 8.979

Unit cell a=5.2263 b=5.2263 c=5.2263 alpha=60.00 beta=60.00 gamma=60.00
Element x y z (fractional)
1 Mo 0.5000 0.5000 0.5000
2 Pb 0.7500 0.7500 0.7500
3 Pb 0.2500 0.2500 0.2500
4 Cl 0.0000 0.0000 0.0000



Relative energy of each structure, in meV/atom: run A 0; run B 374.



Run A
CaNdHo: optimized geometry, PBE.

Output
ρ, g/cm3: 5.448

Unit cell a=3.6602 b=3.6602 c=18.4744 alpha=90.06 beta=95.62 gamma=120.03
Element x y z (fractional)
1 Nd 0.1535 0.5791 0.7326
2 Ca 0.3949 0.6955 0.0904
3 Ho 0.7182 0.8595 0.5777
4 Ho 0.2818 0.1405 0.4223
5 Nd 0.8465 0.4209 0.2674
6 Ca 0.6051 0.3045 0.9096



Run B
CaNdHo: optimized geometry, PBE.

Output
ρ, g/cm3: 5.448

Unit cell a=3.6958 b=6.3616 c=14.9250 alpha=106.36 beta=138.00 gamma=90.04
Element x y z (fractional)
1 Nd 0.2152 0.1847 0.1550
2 Ca 0.2390 0.7494 0.4963
3 Ca 0.7610 0.2506 0.5037
4 Nd 0.7848 0.8153 0.8450
5 Ho 0.2967 0.3170 0.8490
6 Ho 0.7033 0.6830 0.1510



Relative energy of each structure, in meV/atom: run A 0; run B 16.